1.
Compound: NaLaS
Source: Alexandria via LeMat-Bulk
Functional: PBE
Structure: relaxed

Computed properties:
- E_form (uncorrected) (eV per atom) = -1.05

Structure (extended XYZ):
```
6
Lattice="3.527 -2.036 0.000 3.527 2.036 0.000 -2.308 0.000 13.446" Properties=species:S:1:pos:R:3 pbc="T T T"
Na -0.009 0.000 4.979
Na 4.754 0.000 8.467
La 0.051 0.000 11.765
La 4.694 0.000 1.681
S 2.341 0.000 3.359
S 2.404 0.000 10.087
```

2.
Compound: Be2RuCl
Source: Alexandria via LeMat-Bulk
Functional: PBE
Structure: relaxed

Computed properties:
- E_form (uncorrected) (eV per atom) = 0.08

Structure (extended XYZ):
```
4
Lattice="2.992 0.000 0.000 0.000 2.992 0.000 0.000 0.000 6.984" Properties=species:S:1:pos:R:3 pbc="T T T"
Be 0.000 0.000 0.000
Be 1.496 1.496 1.270
Ru 1.496 1.496 6.150
Cl 0.000 0.000 2.462
```

3.
Compound: LiLaTb2
Source: Alexandria via LeMat-Bulk
Functional: PBE
Structure: relaxed

Computed properties:
- calculated formation energy (eV/atom) = 0.13

Structure (extended XYZ):
```
4
Lattice="1.772 1.023 11.466 -1.772 1.023 11.466 0.000 -2.046 11.466" Properties=species:S:1:pos:R:3 pbc="T T T"
Li 0.000 0.000 0.000
La 0.000 0.000 5.732
Tb 0.000 0.000 14.152
Tb 0.000 0.000 20.234
```